[1]
! KSc2Ag2, relaxed, DFT PBE; values from VASP
! Crystal system: tetragonal
! Energy of formation, kJ per mole of atoms: 12.5
! ΔE to the lowest computed polymorph, eV/f.u.: 0.28
! Total energy, eV per cell: -18.82
! DOS at the Fermi energy, states/eV per atom: 1.34
&SYSTEM
  ibrav = 0, nat = 5, ntyp = 3
/
ATOMIC_SPECIES
Sc 44.96 Sc.upf
Ag 107.87 Ag.upf
K 39.10 K.upf
CELL_PARAMETERS angstrom
4.514 0.000 0.000
0.000 4.514 0.000
2.257 2.257 6.713
ATOMIC_POSITIONS crystal
Sc 0.750 0.250 0.500
Sc 0.250 0.750 0.500
Ag 0.611 0.611 0.778
Ag 0.389 0.389 0.222
K 0.000 0.000 0.000

=====

[2]
! K2ScAg, relaxed, DFT PBE; values from VASP
! Crystal system: tetragonal
! Energy of formation, kJ per mole of atoms: 49.4
! ΔE to the lowest computed polymorph, eV/f.u.: 1.37
! Total energy, eV per cell: -9.33
! DOS at the Fermi energy, states/eV per atom: 1.25
&SYSTEM
  ibrav = 0, nat = 4, ntyp = 3
/
ATOMIC_SPECIES
Ag 107.87 Ag.upf
Sc 44.96 Sc.upf
K 39.10 K.upf
CELL_PARAMETERS angstrom
-0.330 6.776 -1.579
-5.360 3.008 -3.277
1.428 -4.293 5.296
ATOMIC_POSITIONS crystal
Ag 0.750 0.250 0.500
Sc 0.250 0.750 0.500
K 0.000 0.000 0.000
K 0.500 0.500 0.000

=====

[3]
! K2ScAg, relaxed, DFT PBE; values from VASP
! Crystal system: orthorhombic
! Energy of formation, kJ per mole of atoms: 48.8
! ΔE to the lowest computed polymorph, eV/f.u.: 1.35
! Total energy, eV per cell: -9.35
! DOS at the Fermi energy, states/eV per atom: 1.21
&SYSTEM
  ibrav = 0, nat = 4, ntyp = 3
/
ATOMIC_SPECIES
Sc 44.96 Sc.upf
Ag 107.87 Ag.upf
K 39.10 K.upf
CELL_PARAMETERS angstrom
4.604 0.000 0.000
0.000 4.627 0.000
0.000 0.000 6.096
ATOMIC_POSITIONS crystal
Sc 0.500 0.000 0.500
Ag 0.000 0.500 0.500
K 0.000 0.000 0.000
K 0.500 0.500 0.000

=====

[4]
! K2ScAg, relaxed, DFT PBE; values from VASP
! Crystal system: orthorhombic
! Energy of formation, kJ per mole of atoms: 21.3
! ΔE to the lowest computed polymorph, eV/f.u.: 0.21
! Total energy, eV per cell: -10.49
! DOS at the Fermi energy, states/eV per atom: 0.84
&SYSTEM
  ibrav = 0, nat = 4, ntyp = 3
/
ATOMIC_SPECIES
K 39.10 K.upf
Ag 107.87 Ag.upf
Sc 44.96 Sc.upf
CELL_PARAMETERS angstrom
10.593 0.040 -0.020
9.028 5.542 0.020
-9.635 -3.407 2.787
ATOMIC_POSITIONS crystal
K 0.403 0.403 0.000
K 0.097 0.097 0.000
Ag 0.250 0.750 0.500
Sc 0.750 0.250 0.500

=====

Number 1: total moment 0.83 μB per formula unit. Number 2: total moment 1.02 μB per formula unit. Number 3: total moment 0.86 μB per formula unit. Number 4: total moment 0.00 μB per formula unit.